Entry 1:
An optimized crystal structure of Tb5SnRu4. Source: Alexandria via LeMat-Bulk, functional PBE-GGA.

Results
E_form = -3.932 eV per formula unit
Space-group type = P4/mmm, No. 123

Lattice parameters (Å, degrees): 3.432 3.432 18.135 90.00 90.00 90.00
Positions (direct):
Tb: 0.000 0.000 0.000
Tb: 0.000 0.000 0.186
Tb: 0.000 0.000 0.373
Tb: 0.000 0.000 0.627
Tb: 0.000 0.000 0.814
Sn: 0.500 0.500 0.500
Ru: 0.500 0.500 0.094
Ru: 0.500 0.500 0.284
Ru: 0.500 0.500 0.716
Ru: 0.500 0.500 0.906

***

Entry 2:
An optimized crystal structure of CaTe4W. Source: Alexandria via LeMat-Bulk, functional PBE-GGA.

Results
Formation energy without anion corrections = 0.86 eV/atom
Space-group type = F-43m, No. 216

Lattice parameters (Å, degrees): 6.351 6.351 6.351 60.00 60.00 60.00
Positions (direct):
Ca: 0.000 0.000 0.000
Te: 0.127 0.624 0.624
Te: 0.624 0.127 0.624
Te: 0.624 0.624 0.127
Te: 0.624 0.624 0.624
W: 0.250 0.250 0.250

***

Entry 3:
An optimized crystal structure of Tb6PmPr5. Source: Alexandria via LeMat-Bulk, functional PBE-GGA.

Results
E_form = 0.128 eV per formula unit
Space-group type = C2/m, No. 12

Lattice parameters (Å, degrees): 6.311 6.311 11.935 95.04 95.04 119.99
Positions (direct):
Tb: 0.083 0.416 0.249
Tb: 0.250 0.250 0.750
Tb: 0.416 0.083 0.249
Tb: 0.584 0.917 0.751
Tb: 0.750 0.750 0.250
Tb: 0.917 0.584 0.751
Pm: 0.000 0.000 0.000
Pr: 0.167 0.833 0.500
Pr: 0.333 0.667 0.000
Pr: 0.500 0.500 0.500
Pr: 0.667 0.333 0.000
Pr: 0.833 0.167 0.500

***

Entry 4:
An optimized crystal structure of AsPb2. Source: Alexandria via LeMat-Bulk, functional PBE-GGA.

Results
E_form = 0.151 eV per formula unit
Space-group type = Pnma, No. 62

Lattice parameters (Å, degrees): 6.719 5.193 9.682 90.00 90.00 90.00
Positions (direct):
As: 0.219 0.250 0.096
As: 0.281 0.750 0.596
As: 0.719 0.250 0.404
As: 0.781 0.750 0.904
Pb: 0.026 0.250 0.805
Pb: 0.169 0.250 0.422
Pb: 0.331 0.750 0.922
Pb: 0.474 0.750 0.305
Pb: 0.526 0.250 0.695
Pb: 0.669 0.250 0.078
Pb: 0.831 0.750 0.578
Pb: 0.974 0.750 0.195

***

Entry 5:
An optimized crystal structure of CoTcI2. Source: Alexandria via LeMat-Bulk, functional PBE-GGA.

Results
Formation energy without anion corrections = 0.83 eV/atom
Space-group type = I-42d, No. 122

Lattice parameters (Å, degrees): 7.159 7.159 7.159 131.50 131.50 71.02
Positions (direct):
Co: 0.000 0.000 0.000
Co: 0.750 0.250 0.500
Tc: 0.250 0.750 0.500
Tc: 0.500 0.500 0.000
I: 0.107 0.625 0.982
I: 0.375 0.357 0.482
I: 0.643 0.125 0.018
I: 0.875 0.893 0.518

***

Entry 6:
An optimized crystal structure of GdHoCu. Source: Alexandria via LeMat-Bulk, functional PBE-GGA.

Results
E_form = -0.406 eV per formula unit
Space-group type = I4mm, No. 107

Lattice parameters (Å, degrees): 6.596 6.596 6.596 149.25 149.25 44.04
Positions (direct):
Gd: 0.000 0.000 0.000
Ho: 0.720 0.720 0.000
Cu: 0.351 0.351 0.000